{"formula": "GaSn", "functional": "PBE-GGA", "state": "optimized geometry", "lattice": [[3.603, 0.000, 0.000], [0.000, 3.603, 0.000], [0.000, 0.000, 3.603]], "species": ["Ga", "Sn"], "fractional_positions": [[0.500, 0.500, 0.500], [0.000, 0.000, 0.000]], "final_energy_ev_per_atom": -3.469, "m_tot_mub_per_cell": 0.00}